[1]
A relaxed structure of RbNpH2Cl8. Source: Alexandria via LeMat-Bulk, functional PBE.

a b c (Å): 6.9122 7.1038 9.3160
angles (deg): 81.17 68.92 76.26
Fractional positions:
Rb1 0.0000 0.0000 0.0000
Np1 0.0000 0.0000 0.5000
H1 0.2789 0.5877 0.7401
H2 0.7211 0.4123 0.2599
Cl1 0.2084 0.1290 0.6227
Cl2 0.2255 0.6652 0.5125
Cl3 0.2530 0.0740 0.2330
Cl4 0.2944 0.5481 0.8780
Cl5 0.7056 0.4519 0.1220
Cl6 0.7470 0.9260 0.7670
Cl7 0.7745 0.3348 0.4875
Cl8 0.7916 0.8710 0.3773

## Properties
Uncorrected energy, eV/atom: -4.209
Magnetic moment, μB/atom: 0.17

***

[2]
A relaxed structure of PIrRu2. Source: Alexandria via LeMat-Bulk, functional PBE.

a b c (Å): 5.1514 5.1514 5.1514
angles (deg): 147.98 130.63 60.06
Fractional positions:
P1 0.0000 0.0000 0.0000
Ir1 0.2124 0.7124 0.5000
Ru1 0.5017 0.5017 0.0000
Ru2 0.7915 0.2915 0.5000

## Properties
Formation enthalpy at 0 K, eV/atom: -0.11
Uncorrected energy, eV/atom: -8.315
Magnetic moment, μB/atom: 0.00

***

[3]
A relaxed structure of HoTiRh2. Source: Alexandria via LeMat-Bulk, functional PBE.

a b c (Å): 3.1776 3.1776 6.8744
angles (deg): 90.00 90.00 90.00
Fractional positions:
Ho1 0.0000 0.0000 0.0000
Ti1 0.0000 0.0000 0.5000
Rh1 0.5000 0.5000 0.2857
Rh2 0.5000 0.5000 0.7143

## Properties
Formation enthalpy at 0 K, eV/atom: -0.79
Uncorrected energy, eV/atom: -7.581
E above lowest polymorph, meV per atom: 0.0
Magnetic moment, μB/atom: 0.00

***

[4]
A relaxed structure of Er4CoIr3. Source: Alexandria via LeMat-Bulk, functional PBE.

a b c (Å): 3.3379 4.8156 9.6147
angles (deg): 90.00 90.00 90.00
Fractional positions:
Er1 0.0000 0.0000 0.0000
Er2 0.0000 0.0000 0.5000
Er3 0.0000 0.5000 0.2465
Er4 0.0000 0.5000 0.7535
Co1 0.5000 0.5000 0.0000
Ir1 0.5000 0.0000 0.2482
Ir2 0.5000 0.0000 0.7518
Ir3 0.5000 0.5000 0.5000

## Properties
Formation enthalpy at 0 K, eV/atom: -0.72
Uncorrected energy, eV/atom: -7.210
Magnetic moment, μB/atom: 0.10

***

[5]
A relaxed structure of Hf4AlC. Source: Alexandria via LeMat-Bulk, functional PBE.

a b c (Å): 6.1889 6.1123 6.0374
angles (deg): 90.00 95.16 90.00
Fractional positions:
Hf1 0.1081 0.1603 0.1815
Hf2 0.1081 0.3397 0.6815
Hf3 0.3213 0.6262 0.0912
Hf4 0.3213 0.8738 0.5912
Hf5 0.6787 0.1262 0.4088
Hf6 0.6787 0.3738 0.9088
Hf7 0.8919 0.6603 0.3185
Hf8 0.8919 0.8397 0.8185
Al1 0.5000 0.0000 0.0000
Al2 0.5000 0.5000 0.5000
C1 0.0000 0.0000 0.5000
C2 0.0000 0.5000 0.0000

## Properties
Formation enthalpy at 0 K, eV/atom: -0.17
Uncorrected energy, eV/atom: -8.968
Magnetic moment, μB/atom: 0.00

***

[6]
A relaxed structure of HoPa2AgN5. Source: Alexandria via LeMat-Bulk, functional PBE.

a b c (Å): 6.7564 6.7564 11.4767
angles (deg): 90.00 90.00 149.67
Fractional positions:
Ho1 0.2121 0.7879 0.5000
Ho2 0.7879 0.2121 0.0000
Pa1 0.1042 0.8958 0.1912
Pa2 0.1432 0.8568 0.7662
Pa3 0.8568 0.1432 0.2662
Pa4 0.8958 0.1042 0.6912
Ag1 0.4853 0.5147 0.9689
Ag2 0.5147 0.4853 0.4689
N1 0.0579 0.9421 0.5986
N2 0.2768 0.7232 0.1687
N3 0.2938 0.7062 0.8635
N4 0.3719 0.6281 0.5785
N5 0.4747 0.5253 0.2847
N6 0.5253 0.4747 0.7847
N7 0.6281 0.3719 0.0785
N8 0.7062 0.2938 0.3635
N9 0.7232 0.2768 0.6687
N10 0.9421 0.0579 0.0986

## Properties
E_form (uncorrected), eV per atom: -0.942
Uncorrected energy, eV/atom: -8.503
Magnetic moment, μB/atom: 0.00

***

[7]
A relaxed structure of Nd16Dy6Tm7. Source: Alexandria via LeMat-Bulk, functional PBE.

a b c (Å): 11.2821 11.2821 11.2821
angles (deg): 60.00 60.00 60.00
Fractional positions:
Nd1 0.0536 0.6488 0.6488
Nd2 0.1250 0.1250 0.1250
Nd3 0.1250 0.1250 0.6249
Nd4 0.1250 0.6249 0.1250
Nd5 0.3512 0.3512 0.3512
Nd6 0.3512 0.3512 0.9464
Nd7 0.3512 0.9464 0.3512
Nd8 0.3751 0.8750 0.8750
Nd9 0.6249 0.1250 0.1250
Nd10 0.6488 0.0536 0.6488
Nd11 0.6488 0.6488 0.0536
Nd12 0.6488 0.6488 0.6488
Nd13 0.8750 0.3751 0.8750
Nd14 0.8750 0.8750 0.3751
Nd15 0.8750 0.8750 0.8750
Nd16 0.9464 0.3512 0.3512
Dy1 0.2655 0.2655 0.7345
Dy2 0.2655 0.7345 0.2655
Dy3 0.2655 0.7345 0.7345
Dy4 0.7345 0.2655 0.2655
Dy5 0.7345 0.2655 0.7345
Dy6 0.7345 0.7345 0.2655
Tm1 0.0000 0.0000 0.0000
Tm2 0.0000 0.0000 0.5000
Tm3 0.0000 0.5000 0.0000
Tm4 0.0000 0.5000 0.5000
Tm5 0.5000 0.0000 0.0000
Tm6 0.5000 0.0000 0.5000
Tm7 0.5000 0.5000 0.0000

## Properties
Formation enthalpy at 0 K, eV/atom: 0.20
Uncorrected energy, eV/atom: -4.460
Magnetic moment, μB/atom: 0.00

***

[8]
A relaxed structure of BeSeCl2. Source: Alexandria via LeMat-Bulk, functional PBE.

a b c (Å): 5.1955 4.7846 4.6990
angles (deg): 66.43 57.57 56.00
Fractional positions:
Be1 0.0000 0.0000 0.0000
Se1 0.5000 0.5000 0.5000
Cl1 0.0000 0.5000 0.5000
Cl2 0.5000 0.0000 0.0000

## Properties
E_form (uncorrected), eV per atom: 0.255
Uncorrected energy, eV/atom: -2.471
E above lowest polymorph, meV per atom: 852.0
Magnetic moment, μB/atom: 0.00

***

Q: Which of these has the highest magnetic moment?
A: RbNpH2Cl8

***

Q: What is the uncorrected energy in the eighth record?
A: -2.471 eV/atom

***

Copy entry 6 word for word.
A relaxed structure of HoPa2AgN5. Source: Alexandria via LeMat-Bulk, functional PBE.

a b c (Å): 6.7564 6.7564 11.4767
angles (deg): 90.00 90.00 149.67
Fractional positions:
Ho1 0.2121 0.7879 0.5000
Ho2 0.7879 0.2121 0.0000
Pa1 0.1042 0.8958 0.1912
Pa2 0.1432 0.8568 0.7662
Pa3 0.8568 0.1432 0.2662
Pa4 0.8958 0.1042 0.6912
Ag1 0.4853 0.5147 0.9689
Ag2 0.5147 0.4853 0.4689
N1 0.0579 0.9421 0.5986
N2 0.2768 0.7232 0.1687
N3 0.2938 0.7062 0.8635
N4 0.3719 0.6281 0.5785
N5 0.4747 0.5253 0.2847
N6 0.5253 0.4747 0.7847
N7 0.6281 0.3719 0.0785
N8 0.7062 0.2938 0.3635
N9 0.7232 0.2768 0.6687
N10 0.9421 0.0579 0.0986

## Properties
E_form (uncorrected), eV per atom: -0.942
Uncorrected energy, eV/atom: -8.503
Magnetic moment, μB/atom: 0.00

***

Q: Number 1 is which compound?
A: RbNpH2Cl8